Entry 1:
The following is a PBE calculation of an optimized crystal structure of Te2S3Cl4, from Alexandria via LeMat-Bulk.

## Properties
Energy = -2.838 eV per atom
Formation energy (no corrections) = 0.057 eV per atom

Cell lengths 9.702, 9.702, 6.744 Å; angles 68.14, 68.14, 98.24 degrees
Fractional positions:
Te  0.737  0.600  0.416
Te  0.400  0.263  0.084
Te  0.263  0.400  0.584
Te  0.600  0.737  0.916
S  0.749  0.840  0.099
S  0.160  0.251  0.401
S  0.251  0.160  0.901
S  0.840  0.749  0.599
S  0.452  0.548  0.750
S  0.548  0.452  0.250
Cl  0.188  0.694  0.556
Cl  0.306  0.812  0.944
Cl  0.812  0.306  0.444
Cl  0.694  0.188  0.056
Cl  0.968  0.401  0.815
Cl  0.599  0.032  0.685
Cl  0.032  0.599  0.185
Cl  0.401  0.968  0.315

***

Entry 2:
The following is a PBE calculation of an optimized crystal structure of KRbHg, from Alexandria via LeMat-Bulk.

## Properties
Energy = -0.945 eV per atom
Energy of formation = -0.156 eV/atom
Relative energy among the computed polymorphs = 13.3 meV per atom

Cell lengths 8.283, 9.128, 9.630 Å; angles 90.00, 90.00, 116.98 degrees
Fractional positions:
Hg  0.592  0.183  0.549
Hg  0.908  0.817  0.049
Hg  0.408  0.817  0.451
Hg  0.092  0.183  0.951
K  0.296  0.091  0.250
K  0.204  0.909  0.750
K  0.704  0.909  0.750
K  0.796  0.091  0.250
Rb  0.804  0.608  0.395
Rb  0.696  0.392  0.895
Rb  0.196  0.392  0.605
Rb  0.304  0.608  0.105

***

Entry 3:
The following is a PBE calculation of an optimized crystal structure of NaSnPd2, from Alexandria via LeMat-Bulk.

## Properties
Energy = -4.041 eV per atom
Energy of formation = -0.114 eV/atom

Cell lengths 7.445, 7.445, 6.046 Å; angles 52.00, 52.00, 90.00 degrees
Fractional positions:
Na  0.500  0.500  0.000
Na  0.250  0.750  0.500
Sn  0.000  0.000  0.000
Sn  0.750  0.250  0.500
Pd  0.650  0.125  0.250
Pd  0.100  0.625  0.250
Pd  0.375  0.350  0.750
Pd  0.875  0.900  0.750

***

Entry 4:
The following is a PBE calculation of an optimized crystal structure of Pu3SeN3, from Alexandria via LeMat-Bulk.

## Properties
Energy = -11.551 eV per atom
Formation energy (no corrections) = -1.343 eV per atom

Cell lengths 6.628, 6.628, 7.877 Å; angles 65.12, 65.12, 60.00 degrees
Site moments in Bohr magnetons follow the coordinates.
Fractional positions:
Pu  0.242  0.555  0.301  4.50
Pu  0.902  0.242  0.301  4.50
Pu  0.555  0.902  0.301  4.50
Pu  0.445  0.098  0.699  4.50
Pu  0.098  0.758  0.699  4.50
Pu  0.758  0.445  0.699  4.50
Se  0.333  0.333  0.000  -0.16
Se  0.667  0.667  0.000  -0.16
N  0.446  0.798  0.626  -0.26
N  0.798  0.130  0.626  -0.26
N  0.130  0.446  0.626  -0.26
N  0.870  0.554  0.374  -0.26
N  0.202  0.870  0.374  -0.26
N  0.554  0.202  0.374  -0.26

***

Entry 5:
The following is a PBE calculation of an optimized crystal structure of TbSm5Dy6, from Alexandria via LeMat-Bulk.

## Properties
Energy = -4.636 eV per atom
Energy of formation = 0.017 eV/atom

Cell lengths 5.059, 10.108, 9.467 Å; angles 122.27, 105.50, 90.00 degrees
Fractional positions:
Tb  0.000  0.000  0.000
Sm  0.666  0.166  0.332
Sm  0.333  0.333  0.667
Sm  0.000  0.500  0.000
Sm  0.667  0.667  0.333
Sm  0.334  0.834  0.668
Dy  0.834  0.584  0.667
Dy  0.833  0.083  0.667
Dy  0.500  0.751  0.000
Dy  0.500  0.249  0.000
Dy  0.167  0.917  0.333
Dy  0.166  0.416  0.333

***

Entry 6:
The following is a PBE calculation of an optimized crystal structure of BeOsN2, from Alexandria via LeMat-Bulk.

## Properties
Energy = -7.373 eV per atom
Formation energy (no corrections) = 0.528 eV per atom

Cell lengths 5.821, 5.821, 5.821 Å; angles 28.25, 28.25, 28.25 degrees
Fractional positions:
Be  0.500  0.500  0.500
Os  0.000  0.000  0.000
N  0.890  0.890  0.890
N  0.110  0.110  0.110

***

Entry 7:
The following is a PBE calculation of an optimized crystal structure of CeSnO2, from Alexandria via LeMat-Bulk.

## Properties
Energy = -6.440 eV per atom
Formation energy (no corrections) = -1.476 eV per atom

Cell lengths 3.909, 3.909, 6.936 Å; angles 73.63, 73.63, 60.00 degrees
Site moments in Bohr magnetons follow the coordinates.
Fractional positions:
O  0.105  0.105  0.685  -0.01
O  0.895  0.895  0.315  -0.01
Sn  0.500  0.500  0.500  0.00
Ce  0.000  0.000  0.000  0.39

***

Entry 8:
The following is a PBE calculation of an optimized crystal structure of YBeP2Au, from Alexandria via LeMat-Bulk.

## Properties
Energy = -3.732 eV per atom
Energy of formation = 1.125 eV/atom

Cell lengths 5.207, 5.513, 5.207 Å; angles 90.00, 90.00, 90.00 degrees
Fractional positions:
Y  0.000  0.000  0.000
P  0.000  0.000  0.500
P  0.500  0.000  0.000
Au  0.000  0.500  0.000
Be  0.500  0.500  0.500

***

- Which value of energy does entry 2 give?
  -0.945 eV per atom

***

- Among the records above, which one has the lowest energy?
  Pu3SeN3

***

- Among the records above, which one has the highest energy?
  KRbHg